Rb2NaPPd: optimized geometry, PBE.

abc: 6.7997 6.7997 4.4430
angles: 90.00 90.00 90.00
Closest atoms and distances in Å follow each position.
Sites, in units of the cell vectors:
Rb: 0.0000 0.5000 0.0000  2 P 3.40
Rb: 0.5000 0.0000 0.0000  2 P 3.40
Na: 0.0000 0.0000 0.5000  8 Rb 4.06, 2 Na 4.44
P: 0.5000 0.5000 0.0000  2 Pd 2.22
Pd: 0.5000 0.5000 0.5000  2 P 2.22

Values from the calculation:
The value obtained for the energy above the lowest structure with this stoichiometry is 0.000 eV/atom. The energy is -2.899 eV/atom. The value obtained for the total magnetization is 0.0 μB/f.u. The calculated density is 2.68 g/cm3. The calculation puts the energy of formation from the pure elements at -128 meV/atom. As for the crystal system: tetragonal.